(1)
A plane-wave DFT calculation with PBE-GGA was carried out for crystalline ScNi2Au at its relaxed geometry.

Computed properties:
* formation enthalpy at 0 K: -1.78 eV per formula unit

abc: 4.641 4.641 3.997
angles: 64.49 64.49 50.97
Fractional positions:
Sc1 0.750 0.750 0.750
Ni1 0.000 0.000 0.000
Ni2 0.500 0.500 0.500
Au1 0.250 0.250 0.250



(2)
A plane-wave DFT calculation with PBE-GGA was carried out for crystalline Sc5NiAu at its relaxed geometry.

Computed properties:
* formation enthalpy at 0 K: -1.77 eV per formula unit

abc: 5.298 5.298 11.153
angles: 79.83 79.83 76.98
Fractional positions:
Sc1 0.914 0.581 0.124
Sc2 0.212 0.526 0.575
Sc3 0.581 0.914 0.624
Sc4 0.002 0.998 0.250
Sc5 0.474 0.788 0.925
Sc6 0.526 0.212 0.075
Sc7 0.998 0.002 0.750
Sc8 0.419 0.086 0.376
Sc9 0.788 0.474 0.425
Sc10 0.086 0.419 0.876
Ni1 0.000 0.000 0.000
Ni2 0.000 0.000 0.500
Au1 0.418 0.582 0.250
Au2 0.582 0.418 0.750



(3)
A plane-wave DFT calculation with PBE-GGA was carried out for crystalline Sc2NiAu at its relaxed geometry.

Computed properties:
* formation enthalpy at 0 K: -2.55 eV per formula unit

abc: 3.262 3.262 6.738
angles: 90.00 90.00 89.94
Fractional positions:
Sc1 0.000 0.000 0.979
Sc2 0.000 0.000 0.521
Ni1 0.500 0.500 0.750
Au1 0.500 0.500 0.250